{
  "formula": "Pm3Mg2Ag3",
  "functional": "GGA-PBE",
  "state": "relaxed",
  "formation_enthalpy_0k_ev_per_atom": -0.194,
  "magnetic_moment_mub_per_fu": 0.00,
  "energy_ev_per_atom": -3.44,
  "crystal_system": "orthorhombic",
  "lattice_angstrom": [[3.5843, 0.0000, 0.0000], [0.0000, 5.3557, 0.0000], [-1.7922, -2.6779, 10.5369]],
  "species": ["Pm", "Pm", "Pm", "Ag", "Ag", "Ag", "Mg", "Mg"],
  "frac_coords": [[0.3743, 0.3743, 0.7486], [0.5000, 0.0000, 0.0000], [0.6257, 0.6257, 0.2514], [0.0000, 0.5000, 0.0000], [0.8720, 0.8720, 0.7440], [0.1280, 0.1280, 0.2560], [0.7341, 0.2341, 0.4683], [0.2659, 0.7659, 0.5317]]
}